This record from Alexandria describes TbEr2Ag after structural relaxation. The functional is PBE-GGA.

Cell: 4.7734 4.7490 4.7490 Å, 90.00 90.00 90.00°
With the nearest neighbours (Å) after each atom.
Fractional positions:
Ag  0.5000  0.0000  0.0000  4 Tb 3.36, 8 Er 3.37
Er  0.0000  0.5000  0.0000  4 Er 3.36, 4 Tb 3.37, 4 Ag 3.37
Er  0.0000  0.0000  0.5000  4 Er 3.36, 4 Tb 3.37, 4 Ag 3.37
Tb  0.5000  0.5000  0.5000  4 Ag 3.36, 8 Er 3.37

Results
The formation energy comes out at 0.015 eV per atom. The magnetic moment comes out at 0.00 μB per formula unit.